# Ba2RhW PBE-GGA relaxed
# energy of formation: 1180 meV per atom
# energy relative to the lowest polymorph listed for this composition: 15.57 kcal/mol of atoms
# E: -4.86 eV/atom
data_Ba2RhW
_symmetry_space_group_name_H-M 'F m -3 m'
_symmetry_Int_Tables_number 225
_symmetry_space_group_name_Hall '-F 4 2 3'
_cell_length_a 7.8371
_cell_length_b 7.8371
_cell_length_c 7.8371
_cell_angle_alpha 90.00
_cell_angle_beta 90.00
_cell_angle_gamma 90.00
loop_
_atom_site_label
_atom_site_type_symbol
_atom_site_fract_x
_atom_site_fract_y
_atom_site_fract_z
Ba1 Ba 0.2500 0.2500 0.2500
Rh1 Rh 0.0000 0.0000 0.0000
W1 W 0.0000 0.0000 0.5000